[1]
CdSi2Rh | the Alexandria database | GGA-PBE | relaxed; formation energy from raw total energies = -0.0931 eV/atom; symmetry = R-3m, No. 166
1.0
-0.879 8.195 1.433
-1.649 7.071 4.156
1.283 7.507 3.463
Cd Si Rh
1 2 1
Direct
0.250 0.250 0.250
0.012 0.012 0.012
0.488 0.488 0.488
0.750 0.750 0.750

[2]
LaMgIr | the Alexandria database | GGA-PBE | relaxed; symmetry = P2_1/m, No. 11
1.0
-0.712 -1.781 -3.762
7.044 1.447 -2.019
3.725 -11.435 4.710
Mg Ir La
6 6 6
Direct
0.250 0.368 0.200
0.750 0.133 0.538
0.250 0.867 0.462
0.250 0.004 0.083
0.750 0.996 0.917
0.750 0.632 0.800
0.750 0.245 0.081
0.750 0.754 0.585
0.250 0.755 0.919
0.250 0.246 0.415
0.750 0.253 0.750
0.250 0.747 0.250
0.750 0.659 0.083
0.750 0.539 0.378
0.250 0.461 0.622
0.250 0.341 0.917
0.750 0.043 0.285
0.250 0.957 0.715

[3]
RbCa2Nd | the Alexandria database | GGA-PBE | relaxed; symmetry = P4/mmm, No. 123
1.0
3.933 0.000 0.000
0.000 3.933 0.000
0.000 0.000 12.297
Ca Nd Rb
2 1 1
Direct
0.000 0.000 0.795
0.000 0.000 0.205
0.500 0.500 0.000
0.500 0.500 0.500

[4]
BeP2RuCl | the Alexandria database | GGA-PBE | relaxed; formation energy from raw total energies = 0.8271 eV/atom; symmetry = P4/mmm, No. 123; excess energy over the best structure of this formula in the dataset = 38 meV per atom
1.0
4.121 0.000 0.000
0.000 4.121 0.000
0.000 0.000 4.456
P Ru Be Cl
2 1 1 1
Direct
0.500 0.000 0.000
0.000 0.500 0.000
0.500 0.500 0.500
0.000 0.000 0.000
0.000 0.000 0.500

| no. | electronic total energy (eV per cell) | M_tot (μB/f.u.) | ρ (Mg/m³) |
| --- | --- | --- | --- |
| 1 | -19.49 | 0.0 | 6.9 |
| 2 | -103.69 | 0.0 | 8.7 |
| 3 | -9.06 | 0.3 | 2.7 |
| 4 | -21.53 | 0.0 | 4.6 |